[1]
A PBEsol-optimized structure of ZrOs2Rh, computed with SCAN.

a b c (Å): 3.899 3.899 8.032
angles (deg): 90.00 90.00 90.00
Space group I4/mmm (No. 139)
Unique sites:
Zr 0.000 0.000 0.000
Os 0.000 0.500 0.250
Rh 0.000 0.000 0.500

- Formation enthalpy at 0 K: -0.7 eV/f.u.
- E above lowest polymorph: 145 meV per atom
- Electronic total energy: -417.81 eV/cell

---

[2]
A PBEsol-optimized structure of Hg2PtBr, computed with SCAN.

a b c (Å): 3.334 3.334 7.612
angles (deg): 90.00 90.00 90.00
Space group P4mm (No. 99)
Unique sites:
Hg 0.000 0.000 0.000
Hg 0.500 0.500 0.271
Pt 0.000 0.000 0.466
Br 0.500 0.500 0.694

- E above lowest polymorph: 323 meV per atom
- Electronic total energy: -224.56 eV/cell

---

[3]
A PBEsol-optimized structure of LaTl, computed with SCAN.

a b c (Å): 4.685 4.685 10.485
angles (deg): 90.00 90.00 90.00
Space group I4_1/amd (No. 141, origin choice 2)
Unique sites:
La 0.000 0.250 0.375
Tl 0.000 0.250 0.875

- Formation enthalpy at 0 K: -1.1 eV/f.u.
- Electronic total energy: -466.29 eV/cell

---

[4]
A PBEsol-optimized structure of KCd4Ga5S12, computed with SCAN.

a b c (Å): 8.419 8.455 8.740
angles (deg): 108.58 106.53 108.22
Space group P1 (No. 1)
Unique sites:
K 0.000 0.000 0.000
Cd 0.407 0.642 0.709
Cd 0.495 0.333 0.923
Cd 0.626 0.697 0.391
Cd 0.716 0.398 0.627
Ga 0.021 0.175 0.541
Ga 0.184 0.542 0.013
Ga 0.320 0.925 0.456
Ga 0.559 0.015 0.179
Ga 0.939 0.464 0.321
S 0.066 0.667 0.210
S 0.149 0.363 0.429
S 0.212 0.057 0.651
S 0.293 0.776 0.938
S 0.350 0.417 0.134
S 0.430 0.135 0.353
S 0.547 0.885 0.619
S 0.665 0.590 0.869
S 0.702 0.207 0.072
S 0.779 0.927 0.287
S 0.881 0.628 0.536
S 0.938 0.284 0.767

- Electronic total energy: -346.19 eV/cell

---

[5]
A PBEsol-optimized structure of FeSnPtCl2, computed with SCAN.

a b c (Å): 4.200 4.200 5.939
angles (deg): 90.00 90.00 90.00
Space group P4/mmm (No. 123)
Unique sites:
Fe 0.000 0.000 0.000
Sn 0.000 0.000 0.500
Pt 0.500 0.500 0.500
Cl 0.000 0.500 0.000

- Electronic total energy: -139.21 eV/cell

---

[6]
A PBEsol-optimized structure of CsP2RhO, computed with SCAN.

a b c (Å): 5.210 5.210 4.044
angles (deg): 90.00 90.00 90.00
Space group P4/mmm (No. 123)
Unique sites:
Cs 0.000 0.000 0.000
P 0.000 0.500 0.000
Rh 0.500 0.500 0.500
O 0.000 0.000 0.500

- Electronic total energy: -88.12 eV/cell

---

[7]
A PBEsol-optimized structure of ZnCuBi2Rh, computed with SCAN.

a b c (Å): 5.138 5.138 4.564
angles (deg): 90.00 90.00 90.00
Space group P4/mmm (No. 123)
Unique sites:
Zn 0.000 0.000 0.000
Cu 0.500 0.500 0.500
Bi 0.000 0.500 0.000
Rh 0.000 0.000 0.500

- Formation enthalpy at 0 K: 4.7 eV/f.u.
- Electronic total energy: -214.94 eV/cell

---

[8]
A PBEsol-optimized structure of LiZnIn2, computed with SCAN.

a b c (Å): 3.286 4.117 5.811
angles (deg): 90.00 90.00 90.00
Space group Pmm2 (No. 25)
Unique sites:
Li 0.000 0.000 0.000
Zn 0.500 0.500 0.245
In 0.000 0.000 0.475
In 0.500 0.500 0.766

- Formation enthalpy at 0 K: -0.4 eV/f.u.
- Electronic total energy: -83.12 eV/cell

---

[9]
A PBEsol-optimized structure of Sr3ZnO, computed with SCAN.

a b c (Å): 5.107 5.107 5.107
angles (deg): 90.00 90.00 90.00
Space group Pm-3m (No. 221)
Unique sites:
Sr 0.000 0.000 0.500
Zn 0.500 0.500 0.500
O 0.000 0.000 0.000

- Electronic total energy: -92.63 eV/cell

---

[10]
A PBEsol-optimized structure of InP, computed with SCAN.

a b c (Å): 4.1410 4.1410 6.7983
angles (deg): 90.00 90.00 120.00
Space group P6_3mc (No. 186)
Unique sites:
In 0.3333 0.6667 0.0000
P 0.3333 0.6667 0.6256

- Formation enthalpy at 0 K: -0.6 eV/f.u.
- Electronic total energy: -88.77 eV/cell

---

[11]
A PBEsol-optimized structure of Ba3SrH, computed with SCAN.

a b c (Å): 5.965 5.965 5.965
angles (deg): 90.00 90.00 90.00
Space group Pm-3m (No. 221)
Unique sites:
Ba 0.000 0.000 0.500
Sr 0.500 0.500 0.500
H 0.000 0.000 0.000

- E above lowest polymorph: 0 meV per atom
- Electronic total energy: -145.01 eV/cell

---

[12]
A PBEsol-optimized structure of SrCrW, computed with SCAN.

a b c (Å): 3.217 3.217 11.996
angles (deg): 90.00 90.00 90.00
Space group I4mm (No. 107)
Unique sites:
Sr 0.000 0.000 0.000
Cr 0.000 0.000 0.291
W 0.000 0.000 0.714

- Formation enthalpy at 0 K: 2.5 eV/f.u.
- E above lowest polymorph: 0 meV per atom
- Electronic total energy: -215.75 eV/cell

---

[13]
A PBEsol-optimized structure of Ba10Ti8NbNiO30, computed with SCAN.

a b c (Å): 5.626 5.626 40.261
angles (deg): 90.00 90.00 90.00
Space group I4/mmm (No. 139)
Unique sites:
Ba 0.000 0.500 0.050
Ba 0.000 0.500 0.150
Ba 0.000 0.500 0.250
Ti 0.000 0.000 0.098
Ti 0.000 0.000 0.198
Ti 0.000 0.000 0.298
Ti 0.000 0.000 0.398
Nb 0.000 0.000 0.500
Ni 0.000 0.000 0.000
O 0.000 0.000 0.051
O 0.000 0.000 0.151
O 0.000 0.000 0.251
O 0.000 0.000 0.351
O 0.000 0.000 0.450
O 0.247 0.247 0.000
O 0.250 0.250 0.100
O 0.250 0.250 0.200

- Electronic total energy: -1842.64 eV/cell

---

[14]
A PBEsol-optimized structure of MgAg2Au, computed with SCAN.

a b c (Å): 4.036 4.036 8.293
angles (deg): 90.00 90.00 90.00
Space group I4/mmm (No. 139)
Unique sites:
Mg 0.000 0.000 0.000
Ag 0.000 0.500 0.250
Au 0.000 0.000 0.500

- Formation enthalpy at 0 K: -1.3 eV/f.u.
- Electronic total energy: -276.31 eV/cell

---

[15]
A PBEsol-optimized structure of MnSi2Au, computed with SCAN.

a b c (Å): 5.411 8.462 3.799
angles (deg): 90.00 134.42 90.00
Space group C2/m (No. 12)
Unique sites:
Mn 0.000 0.000 0.000
Si 0.250 0.250 0.500
Au 0.000 0.500 0.000

- E above lowest polymorph: 103 meV per atom
- Electronic total energy: -214.66 eV/cell

---

[16]
A PBEsol-optimized structure of Rb2HfZnF, computed with SCAN.

a b c (Å): 6.961 6.961 4.977
angles (deg): 90.00 90.00 90.00
Space group P4/mmm (No. 123)
Unique sites:
Rb 0.000 0.500 0.000
Hf 0.000 0.000 0.000
Zn 0.000 0.000 0.500
F 0.500 0.500 0.500

- Electronic total energy: -118.77 eV/cell

---

[17]
A PBEsol-optimized structure of Ni2WCl, computed with SCAN.

a b c (Å): 3.538 3.538 4.066
angles (deg): 90.00 90.00 90.00
Space group P4/mmm (No. 123)
Unique sites:
Ni 0.000 0.500 0.000
W 0.000 0.000 0.500
Cl 0.500 0.500 0.500

- Electronic total energy: -105.46 eV/cell

---

[18]
A PBEsol-optimized structure of CaMg3Zn, computed with SCAN.

a b c (Å): 6.134 6.134 6.134
angles (deg): 90.00 90.00 90.00
Space group Pm-3m (No. 221)
Unique sites:
Ca 0.000 0.000 0.000
Mg 0.000 0.000 0.500
Zn 0.500 0.500 0.500

- Formation enthalpy at 0 K: 5.6 eV/f.u.
- E above lowest polymorph: 1204 meV per atom
- Electronic total energy: -32.53 eV/cell

---

[19]
A PBEsol-optimized structure of TlInPb, computed with SCAN.

a b c (Å): 5.3869 5.3869 3.3329
angles (deg): 90.00 90.00 120.00
Space group P3m1 (No. 156)
Unique sites:
Tl 0.0000 0.0000 0.0000
In 0.3333 0.6667 0.6904
Pb 0.6667 0.3333 0.4099

- Formation enthalpy at 0 K: 0.1 eV/f.u.
- E above lowest polymorph: 0 meV per atom
- Electronic total energy: -181.42 eV/cell

---

[20]
A PBEsol-optimized structure of CsTa2TiBe, computed with SCAN.

a b c (Å): 4.796 4.796 5.562
angles (deg): 90.00 90.00 90.00
Space group P4/mmm (No. 123)
Unique sites:
Cs 0.000 0.000 0.000
Ta 0.000 0.500 0.500
Ti 0.000 0.000 0.500
Be 0.500 0.500 0.000

- Formation enthalpy at 0 K: 11.6 eV/f.u.
- Electronic total energy: -179.79 eV/cell

---

[21]
A PBEsol-optimized structure of La5Ag, computed with SCAN.

a b c (Å): 5.805 3.599 17.593
angles (deg): 90.00 90.00 90.00
Space group Amm2 (No. 38)
Unique sites:
La 0.000 0.000 0.000
La 0.000 0.000 0.303
La 0.500 0.000 0.166
La 0.500 0.000 0.508
La 0.500 0.000 0.834
Ag 0.000 0.000 0.650

- Formation enthalpy at 0 K: -0.2 eV/f.u.
- E above lowest polymorph: 63 meV per atom
- Electronic total energy: -494.10 eV/cell

---

[22]
A PBEsol-optimized structure of SrYCI2, computed with SCAN.

a b c (Å): 5.972 5.972 7.478
angles (deg): 90.00 90.00 90.00
Space group P4/mmm (No. 123)
Unique sites:
Sr 0.000 0.000 0.000
Y 0.000 0.000 0.500
C 0.500 0.500 0.500
I 0.000 0.500 0.000

- Electronic total energy: -128.01 eV/cell

---

[23]
A PBEsol-optimized structure of KGe3Sb, computed with SCAN.

a b c (Å): 5.297 5.297 5.297
angles (deg): 90.00 90.00 90.00
Space group Pm-3m (No. 221)
Unique sites:
K 0.000 0.000 0.000
Ge 0.000 0.000 0.500
Sb 0.500 0.500 0.500

- Electronic total energy: -94.56 eV/cell

---

[24]
A PBEsol-optimized structure of ZnInNi2, computed with SCAN.

a b c (Å): 3.000 3.000 5.865
angles (deg): 90.00 90.00 90.00
Space group P4/mmm (No. 123)
Unique sites:
Zn 0.000 0.000 0.000
In 0.000 0.000 0.500
Ni 0.500 0.500 0.225

- Formation enthalpy at 0 K: -0.4 eV/f.u.
- Electronic total energy: -79.66 eV/cell

---

[25]
A PBEsol-optimized structure of Ba2TlCu, computed with SCAN.

a b c (Å): 4.7519 4.7519 24.5621
angles (deg): 90.00 90.00 120.00
Space group R3m (No. 160, hexagonal axes)
Unique sites:
Ba 0.0000 0.0000 0.0000
Ba 0.0000 0.0000 0.1683
Tl 0.0000 0.0000 0.4177
Cu 0.0000 0.0000 0.7508

- Formation enthalpy at 0 K: -1.0 eV/f.u.
- Electronic total energy: -502.83 eV/cell

---

[26]
A PBEsol-optimized structure of ZnTe2Rh, computed with SCAN.

a b c (Å): 3.196 3.318 7.585
angles (deg): 90.00 90.00 90.00
Space group Pmmm (No. 47)
Unique sites:
Zn 0.000 0.000 0.000
Te 0.500 0.500 0.280
Rh 0.000 0.000 0.500

- Electronic total energy: -121.24 eV/cell